(1)
Density functional theory data (PBE-GGA) for an optimized crystal structure of GaHPd3.

## Properties
**Polymorph energy (0 for the lowest one)**: 0.00 eV per formula unit
**Space-group type**: P4/mbm

a = 5.586 Å, b = 4.047 Å, c = 5.586 Å
α = 90.00°, β = 90.01°, γ = 90.00°
Atoms (fractional coordinates):
H (0.062, 0.158, 0.647)
H (0.562, 0.158, 0.147)
Pd (0.562, 0.658, 0.147)
Pd (0.356, 0.158, 0.441)
Pd (0.769, 0.158, 0.853)
Pd (0.062, 0.658, 0.647)
Pd (0.856, 0.158, 0.353)
Pd (0.269, 0.158, 0.941)
Ga (0.063, 0.658, 0.147)
Ga (0.563, 0.658, 0.647)

(2)
Density functional theory data (PBE-GGA) for an optimized crystal structure of BeNbAg.

## Properties
**Polymorph energy (0 for the lowest one)**: 0.55 eV per formula unit
**Space-group type**: P1

a = 2.835 Å, b = 5.000 Å, c = 7.130 Å
α = 111.23°, β = 89.95°, γ = 73.67°
Atoms (fractional coordinates):
Be (0.678, 0.416, 0.197)
Be (0.305, 0.161, 0.324)
Nb (0.982, 0.814, 0.482)
Nb (0.658, 0.451, 0.645)
Ag (0.006, 0.755, 0.059)
Ag (0.324, 0.124, 0.883)

(3)
Density functional theory data (PBE-GGA) for an optimized crystal structure of La2BeZnPd6.

## Properties
**Electronic total energy**: -5.272 eV/atom
**Space-group type**: P-1

a = 5.887 Å, b = 7.267 Å, c = 7.308 Å
α = 47.57°, β = 65.98°, γ = 89.85°
Atoms (fractional coordinates):
La (0.734, 0.268, 0.529)
La (0.266, 0.732, 0.471)
Be (0.500, 0.500, 0.000)
Zn (0.000, 0.000, 0.000)
Pd (0.261, 0.225, 0.475)
Pd (0.779, 0.741, 0.956)
Pd (0.262, 0.741, 0.952)
Pd (0.738, 0.259, 0.048)
Pd (0.221, 0.259, 0.044)
Pd (0.739, 0.775, 0.525)

(4)
Density functional theory data (PBE-GGA) for an optimized crystal structure of AlV3B.

## Properties
**Polymorph energy (0 for the lowest one)**: 0.00 eV per formula unit
**Space-group type**: C2/m

a = 4.161 Å, b = 5.070 Å, c = 7.376 Å
α = 112.81°, β = 90.00°, γ = 114.22°
Atoms (fractional coordinates):
Al (0.399, 0.797, 0.583)
Al (0.601, 0.203, 0.417)
V (0.874, 0.748, 0.787)
V (0.126, 0.252, 0.213)
V (0.634, 0.267, 0.957)
V (0.366, 0.733, 0.043)
V (0.872, 0.743, 0.344)
V (0.128, 0.257, 0.656)
B (0.121, 0.242, 0.930)
B (0.879, 0.758, 0.070)